# 1
VASP calculation (GGA-PBE) on Zr2Cd6Hg after structural relaxation.

## Properties
Distance to the lowest polymorph of the same formula ... 0.074 eV per atom
Calculated formation energy ... 0.070 eV per atom
Electronic total energy ... -2.473 eV per atom
Magnetization ... 0.3 μB per cell

Unit cell a=4.8369 b=6.1002 c=14.4509 alpha=90.00 beta=90.00 gamma=90.00
Last column: nearest neighbours and their distance in Å.
Space group Immm (No. 71)
Inequivalent atoms, fractional coordinates:
Zr1 0.0000 0.0000 0.1008  1 Zr 2.91, 10 Cd 3.17-3.25
Cd1 0.0000 0.2479 0.3000  5 Cd 2.82-3.08
Cd2 0.0000 0.2631 0.5000  4 Cd 2.89-3.21, 2 Hg 2.90, 4 Zr 3.17
Hg1 0.0000 0.5000 0.0000  4 Cd 2.90

=====

# 2
VASP calculation (GGA-PBE) on SiRh2Cl after structural relaxation.

## Properties
Distance to the lowest polymorph of the same formula ... 0.480 eV per atom
Electronic total energy ... -5.456 eV per atom
Magnetization ... 0.0 μB per cell

Unit cell a=5.3713 b=5.3713 c=10.9690 alpha=90.00 beta=90.00 gamma=90.00
Last column: nearest neighbours and their distance in Å.
Space group I-42d (No. 122)
Inequivalent atoms, fractional coordinates:
Si1 0.0000 0.0000 0.0000  4 Rh 2.26
Rh1 0.2219 0.2500 0.1250  2 Si 2.26, 2 Cl 2.43
Cl1 0.0000 0.0000 0.5000  4 Rh 2.43